Density functional theory data (PBE-GGA) for a relaxed In3PtI crystal.

Geometry as extended XYZ:
```
5
Lattice="5.2995 0.0000 0.0000 0.0000 5.2995 0.0000 0.0000 0.0000 5.2995" Properties=species:S:1:pos:R:3 pbc="T T T"
I 2.6497 2.6497 2.6497
In 0.0000 0.0000 2.6497
Pt 0.0000 0.0000 0.0000
In 2.6497 0.0000 0.0000
In 0.0000 2.6497 0.0000
```

As for the calculated total energy: -3.613 eV/atom. The space group is Pm-3m, No. 221. The calculation puts the formation energy without anion corrections at -452 meV per atom. The value obtained for the magnetization is 0.00 μB/atom.

Density functional theory data (PBE-GGA) for a relaxed ScZn2Cu crystal.

Geometry as extended XYZ:
```
4
Lattice="-3.8853 1.9216 -0.7374 -1.2911 -1.7881 2.1431 0.7126 2.9585 3.9546" Properties=species:S:1:pos:R:3 pbc="T T T"
Sc -2.3765 1.8386 4.2045
Cu -2.0873 1.2534 1.1557
Zn -0.0960 0.8295 2.6675
Zn -0.1932 -0.2443 0.3813
```

As for the calculated total energy: -3.403 eV/atom. The space group is P2/m, No. 10. The calculation puts the formation energy at -0.16 eV per atom. The value obtained for the magnetization is 0.00 μB/atom.

Density functional theory data (PBE-GGA) for a relaxed FeTeH3 crystal.

Geometry as extended XYZ:
```
5
Lattice="-1.7110 -1.9664 -2.3694 3.0786 -1.0446 -1.3562 0.0544 -2.7295 2.2260" Properties=species:S:1:pos:R:3 pbc="T T T"
H 0.0272 -1.3648 1.1130
Te 0.7110 -2.8703 -0.7498
Fe 0.0000 0.0000 0.0000
H 1.5393 -0.5223 -0.6781
H -0.8555 -0.9832 -1.1847
```

As for the calculated total energy: -3.746 eV/atom. The space group is Pm-3m, No. 221. The value obtained for the magnetization is 0.00 μB/atom.

Density functional theory data (PBE-GGA) for a relaxed CdIn5 crystal.

Geometry as extended XYZ:
```
6
Lattice="-0.3835 0.2731 6.2113 -4.6734 -2.8626 2.9608 1.1279 -5.0848 3.4167" Properties=species:S:1:pos:R:3 pbc="T T T"
In -2.2642 -4.9342 4.7607
In -0.9823 -1.9186 3.1472
In -3.0208 -2.2523 6.1595
In -0.1169 -3.3646 6.3877
Cd 0.0000 0.0000 0.0000
In -2.4562 -4.7975 7.8698
```

As for the calculated total energy: -2.307 eV/atom. The space group is F-43m, No. 216. The calculation puts the formation energy at 0.13 eV per atom. The value obtained for the magnetization is 0.00 μB/atom.

Density functional theory data (PBE-GGA) for a relaxed Li10MgZn6 crystal.

Geometry as extended XYZ:
```
17
Lattice="5.4749 0.0000 0.0000 0.0000 6.6576 -3.8438 0.0000 0.0000 7.6875" Properties=species:S:1:pos:R:3 pbc="T T T"
Zn 1.9207 2.3679 -1.3671
Li 0.8618 0.0000 5.3300
Mg 2.7374 0.0000 0.0000
Zn 3.5541 4.2896 -2.4766
Li 2.7374 2.2192 3.8438
Zn 1.9207 4.2896 2.4766
Zn 1.9207 0.0000 2.7343
Li 4.6130 0.0000 2.3575
Li 4.6130 4.6160 2.6650
Li 0.8618 2.0416 1.1787
Li 0.8618 4.6160 -2.6650
Zn 3.5541 0.0000 4.9532
Zn 3.5541 2.3679 1.3671
Li 0.0000 4.4384 0.0000
Li 2.7374 4.4384 0.0000
Li 0.0000 2.2192 3.8438
Li 4.6130 2.0416 -1.1787
```

As for the calculated total energy: -1.784 eV/atom. The space group is P-31m, No. 162. The calculation puts the formation energy at -0.12 eV per atom. The value obtained for the magnetization is 0.00 μB/atom.

Density functional theory data (PBE-GGA) for a relaxed KLaTe crystal.

Geometry as extended XYZ:
```
12
Lattice="-1.8191 2.6644 -6.8754 -7.1940 -2.1945 1.0529 -1.6173 6.7649 3.0494" Properties=species:S:1:pos:R:3 pbc="T T T"
K -4.3758 6.5233 -2.6062
La 0.0000 0.0000 0.0000
K -7.1641 2.0436 -3.6045
Te -0.8086 3.3825 1.5247
Te -3.5970 -1.0973 0.5265
Te -5.3152 3.6174 -1.3865
La -4.5065 0.2349 -2.9112
La -4.4057 2.2852 2.0512
K -7.0633 4.0939 1.3579
K -2.6576 1.8087 -0.6933
La -1.7182 4.7146 -1.9130
Te -0.9095 1.3322 -3.4377
```

As for the calculated total energy: -3.038 eV/atom. The space group is F-43m, No. 216. The calculation puts the formation energy without anion corrections at 17 meV per atom. The value obtained for the magnetization is 0.26 μB/atom.

Q: What is the magnetization in the second record?
A: 0.00 μB/atom

Q: What is the formula in the fifth record?
A: Li10MgZn6

Q: Which value of magnetization does entry 3 give?
A: 0.00 μB/atom